(1)
## LiTlRe2O8 (PBE-GGA)

Data for crystalline LiTlRe2O8 at its relaxed geometry.

total DFT energy (no corrections): -7.388 eV per atom
mass density: 5.2 g/cm³

abc: 5.6661 6.7633 7.4905
angles: 63.23 67.78 65.24
With the nearest neighbours (Å) after each atom.
Element x y z (fractional)
1 O 0.8705 0.9544 0.8043  1 Re 1.76
2 O 0.3239 0.4351 0.9171  1 Re 1.76
3 O 0.1295 0.0456 0.1957  1 Re 1.76
4 O 0.8543 0.6414 0.6501  1 Re 1.75
5 O 0.6292 0.0456 0.1957  1 Re 1.76
6 O 0.3708 0.9544 0.8043  1 Re 1.76
7 O 0.6761 0.5649 0.0829  1 Re 1.76
8 O 0.1457 0.3586 0.3499  1 Re 1.75
9 Li 0.0000 0.0000 0.0000  4 O 2.05
10 Tl 0.5000 0.5000 0.5000  2 O 2.78
11 Re 0.6945 0.7758 0.8352  4 O 1.75-1.76
12 Re 0.3055 0.2242 0.1648  4 O 1.75-1.76

***

(2)
## LaTb2Pr4Ho (PBE-GGA)

Data for crystalline LaTb2Pr4Ho at its relaxed geometry.

formation energy from the elements: 16 meV per atom
total DFT energy (no corrections): -4.719 eV per atom
mass density: 7.1 g/cm³

abc: 3.6764 12.0862 6.3195
angles: 79.82 90.00 90.00
With the nearest neighbours (Å) after each atom.
Element x y z (fractional)
1 Ho 0.0000 0.5000 0.5000  4 La 3.66, 6 Pr 3.66-3.68, 2 Ho 3.68
2 Pr 0.5000 0.2490 0.7501  3 Tb 3.64, 6 Pr 3.65-3.68, 2 Ho 3.66, 1 La 3.66
3 Pr 0.0000 0.2462 0.2523  3 Tb 3.61-3.62, 6 Pr 3.65-3.68, 1 Ho 3.68, 2 La 3.69
4 Pr 0.5000 0.7510 0.2499  3 Tb 3.64, 6 Pr 3.65-3.68, 2 Ho 3.66, 1 La 3.66
5 Pr 0.0000 0.7538 0.7477  3 Tb 3.61-3.62, 6 Pr 3.65-3.68, 1 Ho 3.68, 2 La 3.69
6 Tb 0.5000 0.0000 0.5000  6 Pr 3.61-3.64, 6 Tb 3.66-3.68
7 Tb 0.0000 0.0000 0.0000  6 Pr 3.62-3.64, 6 Tb 3.66-3.68
8 La 0.5000 0.5000 0.0000  4 Ho 3.66, 6 Pr 3.66-3.69, 2 La 3.68

***

(3)
## Tb12Nd2Th (PBE-GGA)

Data for crystalline Tb12Nd2Th at its relaxed geometry.

formation energy from the elements: 341 meV per atom
total DFT energy (no corrections): -4.493 eV per atom
mass density: 7.8 g/cm³

abc: 6.4459 6.4459 24.9872
angles: 90.00 90.00 90.00
With the nearest neighbours (Å) after each atom.
Element x y z (fractional)
1 Tb 0.1682 0.6682 0.5611  6 Tb 3.07-3.40
2 Tb 0.1682 0.3318 0.4389  6 Tb 3.07-3.40
3 Tb 0.3111 0.1889 0.8871  1 Th 3.31, 7 Tb 3.32-3.45
4 Tb 0.0000 0.0000 0.2141  5 Tb 3.12-3.45
5 Tb 0.8318 0.6682 0.4389  6 Tb 3.07-3.40
6 Tb 0.3318 0.8318 0.4389  6 Tb 3.07-3.40
7 Tb 0.5000 0.5000 0.3391  5 Tb 3.12-3.46
8 Tb 0.8318 0.3318 0.5611  6 Tb 3.07-3.40
9 Tb 0.0000 0.0000 0.3391  5 Tb 3.12-3.46
10 Tb 0.5000 0.5000 0.6609  5 Tb 3.12-3.46
11 Tb 0.6682 0.1682 0.4389  6 Tb 3.07-3.40
12 Tb 0.1889 0.3111 0.1129  1 Th 3.31, 7 Tb 3.32-3.45
13 Tb 0.1889 0.6889 0.8871  1 Th 3.31, 7 Tb 3.32-3.45
14 Tb 0.0000 0.0000 0.6609  5 Tb 3.12-3.46
15 Tb 0.5000 0.5000 0.7859  5 Tb 3.12-3.45
16 Tb 0.8111 0.3111 0.8871  1 Th 3.31, 7 Tb 3.32-3.45
17 Tb 0.6889 0.8111 0.8871  1 Th 3.31, 7 Tb 3.32-3.45
18 Tb 0.6889 0.1889 0.1129  1 Th 3.31, 7 Tb 3.32-3.45
19 Tb 0.3111 0.8111 0.1129  1 Th 3.31, 7 Tb 3.32-3.45
20 Tb 0.0000 0.0000 0.7859  5 Tb 3.12-3.45
21 Tb 0.3318 0.1682 0.5611  6 Tb 3.07-3.40
22 Tb 0.6682 0.8318 0.5611  6 Tb 3.07-3.40
23 Tb 0.8111 0.6889 0.1129  1 Th 3.31, 7 Tb 3.32-3.45
24 Tb 0.5000 0.5000 0.2141  5 Tb 3.12-3.45
25 Nd 0.0000 0.5000 0.2709  8 Tb 3.52-3.65
26 Nd 0.5000 0.0000 0.7291  8 Tb 3.52-3.65
27 Nd 0.0000 0.5000 0.7291  8 Tb 3.52-3.65
28 Nd 0.5000 0.0000 0.2709  8 Tb 3.52-3.65
29 Th 0.5000 0.0000 0.0000  4 Tb 3.31
30 Th 0.0000 0.5000 0.0000  4 Tb 3.31

***

(4)
## Mg2MoRh (PBE-GGA)

Data for crystalline Mg2MoRh at its relaxed geometry.

formation energy from the elements: 197 meV per atom
total DFT energy (no corrections): -5.146 eV per atom
mass density: 6.2 g/cm³

abc: 5.1768 5.1768 5.1768
angles: 136.06 136.06 63.89
With the nearest neighbours (Å) after each atom.
Element x y z (fractional)
1 Mo 0.2500 0.7500 0.5000  4 Rh 2.74, 8 Mg 2.93
2 Mg 0.0000 0.0000 0.0000  4 Mg 2.74, 4 Rh 2.93, 4 Mo 2.93
3 Mg 0.5000 0.5000 0.0000  4 Mg 2.74, 4 Mo 2.93, 4 Rh 2.93
4 Rh 0.7500 0.2500 0.5000  4 Mo 2.74, 8 Mg 2.93

***

(5)
## RbTeIO2 (PBE-GGA)

Data for crystalline RbTeIO2 at its relaxed geometry.

total DFT energy (no corrections): -2.488 eV per atom
mass density: 3.5 g/cm³

abc: 4.8439 4.8439 7.4362
angles: 90.00 90.00 90.00
With the nearest neighbours (Å) after each atom.
Element x y z (fractional)
1 O 0.0000 0.5000 0.0000  2 Rb 2.42
2 O 0.5000 0.0000 0.0000  2 Rb 2.42
3 I 0.0000 0.0000 0.5000  4 Te 3.43, 2 Rb 3.72
4 Rb 0.0000 0.0000 0.0000  4 O 2.42
5 Te 0.5000 0.5000 0.5000  4 I 3.43

***

(6)
## CeSmTe2 (PBE-GGA)

Data for crystalline CeSmTe2 at its relaxed geometry.

total DFT energy (no corrections): -5.619 eV per atom
mass density: 7.2 g/cm³

abc: 4.4476 4.4476 7.7953
angles: 73.42 73.42 60.00
With the nearest neighbours (Å) after each atom.
Element x y z (fractional)
1 Te 0.2513 0.2513 0.2461  3 Sm 3.14, 3 Ce 3.18
2 Te 0.7487 0.7487 0.7539  3 Sm 3.14, 3 Ce 3.18
3 Sm 0.0000 0.0000 0.0000  6 Te 3.14
4 Ce 0.5000 0.5000 0.5000  6 Te 3.18

***

(7)
## HfBN (PBE-GGA)

Data for crystalline HfBN at its relaxed geometry.

total DFT energy (no corrections): -9.386 eV per atom
mass density: 10.5 g/cm³

abc: 3.2171 3.2171 21.6041
angles: 90.00 90.00 120.00
With the nearest neighbours (Å) after each atom.
Element x y z (fractional)
1 Hf 0.0000 0.0000 0.3000  6 N 2.15-2.27
2 Hf 0.0000 0.0000 0.0944  3 B 2.29, 3 N 2.36
3 Hf 0.3333 0.6667 0.7611  3 B 2.29, 3 N 2.36
4 Hf 0.3333 0.6667 0.9667  6 N 2.15-2.27
5 Hf 0.6667 0.3333 0.4278  3 B 2.29, 3 N 2.36
6 Hf 0.6667 0.3333 0.6334  6 N 2.15-2.27
7 B 0.3333 0.6667 0.5110  1 N 1.57
8 B 0.6667 0.3333 0.1777  1 N 1.57
9 B 0.0000 0.0000 0.4899  3 B 1.91
10 B 0.6667 0.3333 0.8232  3 B 1.91
11 B 0.0000 0.0000 0.8444  1 N 1.57
12 B 0.3333 0.6667 0.1566  3 B 1.91
13 N 0.6667 0.3333 0.2502  1 B 1.57
14 N 0.0000 0.0000 0.9169  1 B 1.57
15 N 0.0000 0.0000 0.6936  6 Hf 2.27-2.36
16 N 0.6667 0.3333 0.0270  6 Hf 2.27-2.36
17 N 0.3333 0.6667 0.5835  1 B 1.57
18 N 0.3333 0.6667 0.3603  6 Hf 2.27-2.36

***

(8)
## ReBiAs2 (PBE-GGA)

Data for crystalline ReBiAs2 at its relaxed geometry.

formation energy from the elements: 467 meV per atom
total DFT energy (no corrections): -5.940 eV per atom
mass density: 8.2 g/cm³

abc: 6.2428 6.2428 7.1870
angles: 64.26 64.26 90.00
With the nearest neighbours (Å) after each atom.
Element x y z (fractional)
1 Re 0.2500 0.7500 0.5000  4 As 2.39
2 Re 0.5000 0.5000 0.0000  4 As 2.39
3 As 0.8750 0.8048 0.7500  2 Re 2.39
4 As 0.3750 0.4452 0.7500  2 Re 2.39
5 As 0.1952 0.6250 0.2500  2 Re 2.39
6 As 0.5548 0.1250 0.2500  2 Re 2.39
7 Bi 0.7500 0.2500 0.5000  4 As 2.91
8 Bi 0.0000 0.0000 0.0000  4 As 2.91